VASP calculation (PBE) on crystalline La4YAg at its relaxed geometry.

Calculated values
Formation enthalpy at 0 K (eV/atom): 0.3448
Energy above the lowest structure with this stoichiometry (meV/atom): 413
DOS(E_F) (states/eV/atom): 1.580
VASP energy (eV/f.u.): -26.956

Cell: 9.3255 9.3255 9.3255 Å, 90.00 90.00 90.00°
Space group F-43m (No. 216)
Asymmetric unit:
La 0.1247 0.1247 0.1247 x16
Y 0.2500 0.2500 0.7500 x4
Ag 0.0000 0.0000 0.5000 x4